[1]
This record from Alexandria describes an optimized crystal structure of ZnTc5. The functional is GGA-PBE.

Output
**Formation enthalpy at 0 K**: 57 kJ/mol of formula units
**Distance to the lowest polymorph of the same formula**: 78.0 meV/atom
**DOS at the Fermi energy**: 11.12 states/eV/cell

abc: 3.939 11.051 3.994
angles: 90.00 90.00 90.00
Space group Cmmm (No. 65)
Symmetry-distinct sites (fractional):
Zn 0.000 0.000 0.000 (multiplicity 2)
Tc 0.000 0.167 0.500 (multiplicity 4)
Tc 0.000 0.328 0.000 (multiplicity 4)
Tc 0.000 0.500 0.500 (multiplicity 2)

[2]
This record from Alexandria describes an optimized crystal structure of VCu3Pt. The functional is GGA-PBE.

Output
**Formation enthalpy at 0 K**: 503 kJ/mol of formula units
**Distance to the lowest polymorph of the same formula**: 0.0 meV/atom
**DOS at the Fermi energy**: 10.88 states/eV/cell

abc: 4.649 4.649 4.649
angles: 90.00 90.00 90.00
Space group Pm-3m (No. 221)
Symmetry-distinct sites (fractional):
V 0.000 0.000 0.000 (multiplicity 1)
Cu 0.000 0.500 0.500 (multiplicity 3)
Pt 0.500 0.500 0.500 (multiplicity 1)

[3]
This record from Alexandria describes an optimized crystal structure of YIr2Rh. The functional is GGA-PBE.

Output
**Formation enthalpy at 0 K**: -23 kJ/mol of formula units
**Distance to the lowest polymorph of the same formula**: 353.5 meV/atom
**DOS at the Fermi energy**: 28.18 states/eV/cell

abc: 6.513 6.513 6.513
angles: 90.00 90.00 90.00
Space group F-43m (No. 216)
Symmetry-distinct sites (fractional):
Y 0.000 0.000 0.000 (multiplicity 4)
Ir 0.000 0.000 0.500 (multiplicity 4)
Ir 0.250 0.250 0.750 (multiplicity 4)
Rh 0.250 0.250 0.250 (multiplicity 4)

[4]
This record from Alexandria describes an optimized crystal structure of RbSnHg2Pd. The functional is GGA-PBE.

Output
**Formation enthalpy at 0 K**: -87 kJ/mol of formula units
**DOS at the Fermi energy**: 2.68 states/eV/cell

abc: 5.450 5.450 5.203
angles: 90.00 90.00 90.00
Space group P4/mmm (No. 123)
Symmetry-distinct sites (fractional):
Rb 0.000 0.000 0.000 (multiplicity 1)
Sn 0.500 0.500 0.000 (multiplicity 1)
Hg 0.000 0.500 0.500 (multiplicity 2)
Pd 0.500 0.500 0.500 (multiplicity 1)

[5]
This record from Alexandria describes an optimized crystal structure of TlCuBiTe3. The functional is GGA-PBE.

Output
**Raw formation energy**: -1.03 eV/f.u.
**DOS at the Fermi energy**: 8.75 states/eV/cell

abc: 9.753 4.292 9.930
angles: 90.00 106.02 90.00
Space group P2_1/m (No. 11)
Symmetry-distinct sites (fractional):
Tl 0.214 0.250 0.184 (multiplicity 2)
Cu 0.434 0.750 0.931 (multiplicity 2)
Bi 0.144 0.250 0.667 (multiplicity 2)
Te 0.152 0.750 0.899 (multiplicity 2)
Te 0.184 0.750 0.450 (multiplicity 2)
Te 0.487 0.250 0.797 (multiplicity 2)

[6]
This record from Alexandria describes an optimized crystal structure of Ho3TeI7. The functional is GGA-PBE.

Output
**Raw formation energy**: -15.17 eV/f.u.
**DOS at the Fermi energy**: 0.00 states/eV/cell

abc: 8.7284 8.7284 7.4793
angles: 90.00 90.00 120.00
Space group P3m1 (No. 156)
Symmetry-distinct sites (fractional):
Ho 0.0127 0.5064 0.0000 (multiplicity 3)
Te 0.3333 0.6667 0.2339 (multiplicity 1)
I 0.1701 0.3402 0.7591 (multiplicity 3)
I 0.3409 0.1704 0.2213 (multiplicity 3)
I 0.6667 0.3333 0.7566 (multiplicity 1)

Density readings, ordered: 10.6; 7.2; 13.9; 7.6; 7.1; 5.1 g/cm3